Entry from the Alexandria database: a geometry-optimized TlCoCu3 structure (PBE).

Unit cell a=4.5093 b=4.5093 c=4.5093 alpha=90.00 beta=90.00 gamma=90.00
Closest atoms and distances in Å follow each position.
Space group Pm-3m (No. 221)
Asymmetric unit:
Tl: 0.0000 0.0000 0.0000 [1 per cell]  12 Cu 3.19
Co: 0.5000 0.5000 0.5000 [1 per cell]  6 Cu 2.25
Cu: 0.0000 0.5000 0.5000 [3 per cell]  2 Co 2.25

Calculated values
ΔH_f (0 K) (eV per atom): 0.812
Total magnetization (μB/atom): 0.3335
Calculated density (g cm⁻³): 8.2
DOS(E_F) (states/eV per cell): 7.44
Calculated total energy (eV per atom): -3.540